First-principles (PBE) data for an optimized crystal structure of AsPbS3, as listed in the Alexandria database.

abc: 3.818 7.608 9.298
angles: 113.78 90.00 90.00
Fractional coordinates of all 10 atoms:
As  0.500  0.852  0.217
As  0.500  0.148  0.783
Pb  0.000  0.671  0.831
Pb  0.000  0.329  0.169
S  0.500  0.798  0.622
S  0.500  0.202  0.378
S  0.500  0.671  0.380
S  0.500  0.500  0.000
S  0.500  0.329  0.620
S  0.500  0.000  0.000

Energy relative to the elements, uncorrected = -13 meV per atom
Symmetry = P2/m
Total magnetic moment = 0.00 μB/cell